No. 1
A geometry-optimized PuInCo2 structure. Source: Alexandria, functional GGA-PBE.

a b c (Å): 4.5893 4.5893 3.1522
angles (deg): 90.00 90.00 90.00
Last column: nearest neighbours and their distance in Å.
Sites, in units of the cell vectors:
Pu (0.0000, 0.0000, 0.0000)  8 Co 2.78
In (0.5000, 0.5000, 0.0000)  8 Co 2.78
Co (0.0000, 0.5000, 0.5000)  4 In 2.78, 4 Pu 2.78
Co (0.5000, 0.0000, 0.5000)  4 In 2.78, 4 Pu 2.78

Properties
Its formation enthalpy at 0 K is 0.098 eV/atom. The density of states at the Fermi level comes out at 11.19 states/eV/f.u. The uncorrected energy is -7.72 eV/atom. The total magnetization comes out at 0.962 μB/atom.

=====

No. 2
A geometry-optimized PuInCoRh structure. Source: Alexandria, functional GGA-PBE.

a b c (Å): 4.6649 4.6649 4.6649
angles (deg): 60.00 60.00 60.00
Last column: nearest neighbours and their distance in Å.
Sites, in units of the cell vectors:
Pu (0.0000, 0.0000, 0.0000)  4 Co 2.86, 4 Rh 2.86
In (0.5000, 0.5000, 0.5000)  4 Co 2.86, 4 Rh 2.86
Co (0.7500, 0.7500, 0.7500)  4 Pu 2.86, 4 In 2.86
Rh (0.2500, 0.2500, 0.2500)  4 In 2.86, 4 Pu 2.86

Properties
Its formation enthalpy at 0 K is -0.216 eV/atom. The density of states at the Fermi level comes out at 7.11 states/eV/f.u. The uncorrected energy is -8.10 eV/atom. The total magnetization comes out at 0.949 μB/atom.

=====

No. 3
A geometry-optimized PuZnInCo structure. Source: Alexandria, functional GGA-PBE.

a b c (Å): 4.7319 4.7319 4.7319
angles (deg): 60.00 60.00 60.00
Last column: nearest neighbours and their distance in Å.
Sites, in units of the cell vectors:
Pu (0.0000, 0.0000, 0.0000)  4 Co 2.90, 4 Zn 2.90
Zn (0.2500, 0.2500, 0.2500)  4 In 2.90, 4 Pu 2.90
In (0.5000, 0.5000, 0.5000)  4 Zn 2.90, 4 Co 2.90
Co (0.7500, 0.7500, 0.7500)  4 In 2.90, 4 Pu 2.90

Properties
Its formation enthalpy at 0 K is 0.003 eV/atom. The density of states at the Fermi level comes out at 10.92 states/eV/f.u. The uncorrected energy is -6.36 eV/atom. The total magnetization comes out at 0.976 μB/atom.

=====

No. 4
A geometry-optimized RbInCo3 structure. Source: Alexandria, functional GGA-PBE.

a b c (Å): 5.0308 5.0308 5.0308
angles (deg): 90.00 90.00 90.00
Last column: nearest neighbours and their distance in Å.
Sites, in units of the cell vectors:
Rb (0.0000, 0.0000, 0.0000)  12 Co 3.56
In (0.5000, 0.5000, 0.5000)  6 Co 2.52
Co (0.0000, 0.5000, 0.5000)  2 In 2.52
Co (0.5000, 0.0000, 0.5000)  2 In 2.52
Co (0.5000, 0.5000, 0.0000)  2 In 2.52

Properties
Its formation enthalpy at 0 K is 1.352 eV/atom. Its energy above the most stable polymorph in this dataset is 0.0 meV/atom. The density of states at the Fermi level comes out at 6.93 states/eV/f.u. The uncorrected energy is -3.65 eV/atom. The total magnetization comes out at 1.077 μB/atom.

=====

No. 5
A geometry-optimized Rb4InCo2 structure. Source: Alexandria, functional GGA-PBE.

a b c (Å): 9.6947 9.6947 9.6947
angles (deg): 137.53 137.53 61.62
Last column: nearest neighbours and their distance in Å.
Sites, in units of the cell vectors:
Rb (0.0000, 0.5000, 0.5000)  2 In 3.51, 4 Co 3.66
Rb (0.2242, 0.2242, 0.0000)  1 Co 3.57, 1 In 3.73
Rb (0.5000, 0.0000, 0.5000)  2 In 3.51, 4 Co 3.66
Rb (0.7758, 0.7758, 0.0000)  1 Co 3.57, 1 In 3.73
In (0.0000, 0.0000, 0.0000)  6 Rb 3.51-3.73
Co (0.4385, 0.4385, 0.0000)  1 Co 2.05
Co (0.5615, 0.5615, 0.0000)  1 Co 2.05

Properties
Its formation enthalpy at 0 K is 0.832 eV/atom. The density of states at the Fermi level comes out at 10.61 states/eV/f.u. The uncorrected energy is -2.14 eV/atom. The total magnetization comes out at 0.656 μB/atom.

=====

No. 6
A geometry-optimized Rb2In2Co structure. Source: Alexandria, functional GGA-PBE.

a b c (Å): 7.1658 7.1658 6.5513
angles (deg): 90.00 90.00 90.00
Last column: nearest neighbours and their distance in Å.
Sites, in units of the cell vectors:
Rb (0.1714, 0.3286, 0.0000)  5 Rb 3.47-3.76, 2 In 3.51
Rb (0.3286, 0.8286, 0.0000)  5 Rb 3.47-3.76, 2 In 3.51
Rb (0.6714, 0.1714, 0.0000)  5 Rb 3.47-3.76, 2 In 3.51
Rb (0.8286, 0.6714, 0.0000)  5 Rb 3.47-3.76, 2 In 3.51
In (0.2033, 0.7033, 0.5000)  2 Co 2.58
In (0.2967, 0.2033, 0.5000)  2 Co 2.58
In (0.7033, 0.7967, 0.5000)  2 Co 2.58
In (0.7967, 0.2967, 0.5000)  2 Co 2.58
Co (0.0000, 0.0000, 0.5000)  4 In 2.58
Co (0.5000, 0.5000, 0.5000)  4 In 2.58

Properties
Its formation enthalpy at 0 K is 0.320 eV/atom. The density of states at the Fermi level comes out at 4.21 states/eV/f.u. The uncorrected energy is -2.58 eV/atom. The total magnetization comes out at 0.118 μB/atom.

=====

No. 7
A geometry-optimized RbIn2Co structure. Source: Alexandria, functional GGA-PBE.

a b c (Å): 8.5421 8.5421 8.5421
angles (deg): 134.66 134.66 66.05
Last column: nearest neighbours and their distance in Å.
Sites, in units of the cell vectors:
Rb (0.0000, 0.0000, 0.0000)  8 In 4.09-4.10
Rb (0.7500, 0.2500, 0.5000)  8 In 4.09-4.10
In (0.3740, 0.6250, 0.2490)  2 Co 2.43
In (0.3750, 0.6240, 0.7490)  2 Co 2.43
In (0.3760, 0.1250, 0.7510)  2 Co 2.43
In (0.8750, 0.6260, 0.2510)  2 Co 2.43
Co (0.2500, 0.7500, 0.5000)  4 In 2.43
Co (0.5000, 0.5000, 0.0000)  4 In 2.43

Properties
Its formation enthalpy at 0 K is 0.276 eV/atom. Its energy above the most stable polymorph in this dataset is 0.0 meV/atom. The density of states at the Fermi level comes out at 0.78 states/eV/f.u. The uncorrected energy is -3.11 eV/atom. The total magnetization comes out at 0.000 μB/atom.

=====

No. 8
A geometry-optimized Rb4In2Co structure. Source: Alexandria, functional GGA-PBE.

a b c (Å): 9.8806 9.8806 9.8806
angles (deg): 137.92 137.92 61.03
Last column: nearest neighbours and their distance in Å.
Sites, in units of the cell vectors:
Rb (0.0000, 0.5000, 0.5000)  2 Co 3.55, 4 In 3.83
Rb (0.1975, 0.1975, 0.0000)  1 Co 3.36, 1 In 3.72
Rb (0.5000, 0.0000, 0.5000)  2 Co 3.55, 4 In 3.83
Rb (0.8025, 0.8025, 0.0000)  1 Co 3.36, 1 In 3.72
In (0.4159, 0.4159, 0.0000)  1 In 2.86
In (0.5841, 0.5841, 0.0000)  1 In 2.86
Co (0.0000, 0.0000, 0.0000)  6 Rb 3.36-3.55

Properties
Its formation enthalpy at 0 K is 0.535 eV/atom. The density of states at the Fermi level comes out at 5.91 states/eV/f.u. The uncorrected energy is -1.82 eV/atom. The total magnetization comes out at 0.347 μB/atom.

=====

No. 9
A geometry-optimized RbIn3Co structure. Source: Alexandria, functional GGA-PBE.

a b c (Å): 6.2340 6.2340 6.2340
angles (deg): 90.00 90.00 90.00
Last column: nearest neighbours and their distance in Å.
Sites, in units of the cell vectors:
Rb (0.0000, 0.0000, 0.0000)  6 In 3.12
In (0.0000, 0.0000, 0.5000)  2 Rb 3.12
In (0.0000, 0.5000, 0.0000)  2 Rb 3.12
In (0.5000, 0.0000, 0.0000)  2 Rb 3.12
Co (0.5000, 0.5000, 0.5000)  12 In 4.41

Properties
Its formation enthalpy at 0 K is 1.673 eV/atom. Its energy above the most stable polymorph in this dataset is 1690.6 meV/atom. The density of states at the Fermi level comes out at 8.57 states/eV/f.u. The uncorrected energy is -1.58 eV/atom. The total magnetization comes out at 0.285 μB/atom.

=====

No. 10
A geometry-optimized RbIn3Co structure. Source: Alexandria, functional GGA-PBE.

a b c (Å): 5.1128 5.1128 5.1128
angles (deg): 90.00 90.00 90.00
Last column: nearest neighbours and their distance in Å.
Sites, in units of the cell vectors:
Rb (0.0000, 0.0000, 0.0000)  12 In 3.62
In (0.0000, 0.5000, 0.5000)  2 Co 2.56
In (0.5000, 0.0000, 0.5000)  2 Co 2.56
In (0.5000, 0.5000, 0.0000)  2 Co 2.56
Co (0.5000, 0.5000, 0.5000)  6 In 2.56

Properties
Its formation enthalpy at 0 K is -0.018 eV/atom. Its energy above the most stable polymorph in this dataset is 0.0 meV/atom. The density of states at the Fermi level comes out at 4.06 states/eV/f.u. The uncorrected energy is -3.28 eV/atom. The total magnetization comes out at 0.000 μB/atom.

=====

No. 11
A geometry-optimized Rb3InCo structure. Source: Alexandria, functional GGA-PBE.

a b c (Å): 6.5443 6.5443 6.5443
angles (deg): 90.00 90.00 90.00
Last column: nearest neighbours and their distance in Å.
Sites, in units of the cell vectors:
Rb (0.0000, 0.0000, 0.5000)  2 Co 3.27
Rb (0.0000, 0.5000, 0.0000)  2 Co 3.27
Rb (0.5000, 0.0000, 0.0000)  2 Co 3.27
In (0.5000, 0.5000, 0.5000)  12 Rb 4.63
Co (0.0000, 0.0000, 0.0000)  6 Rb 3.27

Properties
Its formation enthalpy at 0 K is 0.763 eV/atom. Its energy above the most stable polymorph in this dataset is 0.0 meV/atom. The density of states at the Fermi level comes out at 5.82 states/eV/f.u. The uncorrected energy is -1.79 eV/atom. The total magnetization comes out at 0.379 μB/atom.

=====

No. 12
A geometry-optimized RbIn2Co structure. Source: Alexandria, functional GGA-PBE.

a b c (Å): 5.2754 5.2754 5.2754
angles (deg): 60.00 60.00 60.00
Last column: nearest neighbours and their distance in Å.
Sites, in units of the cell vectors:
Rb (0.0000, 0.0000, 0.0000)  8 In 3.23
In (0.2500, 0.2500, 0.2500)  4 Co 3.23, 4 Rb 3.23
In (0.7500, 0.7500, 0.7500)  4 Co 3.23, 4 Rb 3.23
Co (0.5000, 0.5000, 0.5000)  8 In 3.23

Properties
Its formation enthalpy at 0 K is 0.691 eV/atom. Its energy above the most stable polymorph in this dataset is 415.7 meV/atom. The density of states at the Fermi level comes out at 7.34 states/eV/f.u. The uncorrected energy is -2.70 eV/atom. The total magnetization comes out at 0.357 μB/atom.

=====

No. 13
A geometry-optimized RbInCo2 structure. Source: Alexandria, functional GGA-PBE.

a b c (Å): 9.8312 9.8312 9.8312
angles (deg): 151.25 151.25 41.11
Last column: nearest neighbours and their distance in Å.
Sites, in units of the cell vectors:
Rb (0.3750, 0.6250, 0.7500)  4 In 3.45, 8 Co 3.57
Rb (0.6250, 0.3750, 0.2500)  4 In 3.45, 8 Co 3.57
In (0.1250, 0.8750, 0.2500)  4 Co 2.60
In (0.8750, 0.1250, 0.7500)  4 Co 2.60
Co (0.0000, 0.0000, 0.0000)  2 Co 2.44, 2 In 2.60
Co (0.0000, 0.0000, 0.5000)  2 Co 2.44, 2 In 2.60
Co (0.0000, 0.5000, 0.0000)  2 Co 2.44, 2 In 2.60
Co (0.5000, 0.0000, 0.5000)  2 Co 2.44, 2 In 2.60

Properties
Its formation enthalpy at 0 K is 0.790 eV/atom. The density of states at the Fermi level comes out at 4.00 states/eV/f.u. The uncorrected energy is -3.69 eV/atom. The total magnetization comes out at 0.727 μB/atom.

=====

No. 14
A geometry-optimized RbInCo3 structure. Source: Alexandria, functional GGA-PBE.

a b c (Å): 4.6689 4.6689 4.6689
angles (deg): 90.00 90.00 90.00
Last column: nearest neighbours and their distance in Å.
Sites, in units of the cell vectors:
Rb (0.0000, 0.0000, 0.0000)  6 Co 2.33
In (0.5000, 0.5000, 0.5000)  12 Co 3.30
Co (0.0000, 0.0000, 0.5000)  2 Rb 2.33
Co (0.0000, 0.5000, 0.0000)  2 Rb 2.33
Co (0.5000, 0.0000, 0.0000)  2 Rb 2.33

Properties
Its formation enthalpy at 0 K is 2.293 eV/atom. Its energy above the most stable polymorph in this dataset is 941.2 meV/atom. The density of states at the Fermi level comes out at 7.94 states/eV/f.u. The uncorrected energy is -2.71 eV/atom. The total magnetization comes out at 0.688 μB/atom.

=====

No. 15
A geometry-optimized RbInCoRe2 structure. Source: Alexandria, functional GGA-PBE.

a b c (Å): 4.8919 4.8919 4.5008
angles (deg): 90.00 90.00 90.00
Last column: nearest neighbours and their distance in Å.
Sites, in units of the cell vectors:
Rb (0.0000, 0.0000, 0.0000)  2 Co 2.25, 4 Re 2.45
In (0.5000, 0.5000, 0.5000)  8 Re 3.32, 4 Co 3.46
Co (0.0000, 0.0000, 0.5000)  2 Rb 2.25
Re (0.0000, 0.5000, 0.0000)  2 Rb 2.45
Re (0.5000, 0.0000, 0.0000)  2 Rb 2.45

Properties
Its formation enthalpy at 0 K is 3.377 eV/atom. The density of states at the Fermi level comes out at 7.66 states/eV/f.u. The uncorrected energy is -3.76 eV/atom. The total magnetization comes out at 0.880 μB/atom.

=====

No. 16
A geometry-optimized RbIn2CoSb structure. Source: Alexandria, functional GGA-PBE.

a b c (Å): 6.0216 6.0216 4.8228
angles (deg): 90.00 90.00 90.00
Last column: nearest neighbours and their distance in Å.
Sites, in units of the cell vectors:
Rb (0.0000, 0.0000, 0.0000)  8 In 3.86, 4 Co 4.26
In (0.0000, 0.5000, 0.5000)  2 Sb 3.01
In (0.5000, 0.0000, 0.5000)  2 Sb 3.01
Co (0.5000, 0.5000, 0.0000)  2 Sb 2.41
Sb (0.5000, 0.5000, 0.5000)  2 Co 2.41

Properties
The density of states at the Fermi level comes out at 8.49 states/eV/f.u. As for the formation energy without anion corrections: 0.481 eV per atom. The uncorrected energy is -3.05 eV/atom. The total magnetization comes out at 0.223 μB/atom.

=====

No. 17
A geometry-optimized RbScIn2Co structure. Source: Alexandria, functional GGA-PBE.

a b c (Å): 5.5064 5.5064 4.4321
angles (deg): 90.00 90.00 90.00
Last column: nearest neighbours and their distance in Å.
Sites, in units of the cell vectors:
Rb (0.0000, 0.0000, 0.0000)  8 In 3.53, 4 Co 3.89
Sc (0.5000, 0.5000, 0.5000)  2 Co 2.22
In (0.0000, 0.5000, 0.5000)  2 Sc 2.75
In (0.5000, 0.0000, 0.5000)  2 Sc 2.75
Co (0.5000, 0.5000, 0.0000)  2 Sc 2.22

Properties
Its formation enthalpy at 0 K is 0.603 eV/atom. The density of states at the Fermi level comes out at 6.53 states/eV/f.u. The uncorrected energy is -3.37 eV/atom. The total magnetization comes out at 0.000 μB/atom.

=====

No. 18
A geometry-optimized RbInCo2Se structure. Source: Alexandria, functional GGA-PBE.

a b c (Å): 4.6009 4.6009 6.1125
angles (deg): 90.00 90.00 90.00
Last column: nearest neighbours and their distance in Å.
Sites, in units of the cell vectors:
Rb (0.0000, 0.0000, 0.0000)  4 In 3.25
In (0.5000, 0.5000, 0.0000)  2 Se 3.06, 4 Rb 3.25
Co (0.0000, 0.5000, 0.5000)  2 Se 2.30
Co (0.5000, 0.0000, 0.5000)  2 Se 2.30
Se (0.5000, 0.5000, 0.5000)  4 Co 2.30

Properties
The density of states at the Fermi level comes out at 6.83 states/eV/f.u. As for the formation energy without anion corrections: 0.597 eV per atom. The uncorrected energy is -3.68 eV/atom. The total magnetization comes out at 0.517 μB/atom.

=====

No. 19
A geometry-optimized Rb2InCoSi structure. Source: Alexandria, functional GGA-PBE.

a b c (Å): 6.2567 6.2567 5.0499
angles (deg): 90.00 90.00 90.00
Last column: nearest neighbours and their distance in Å.
Sites, in units of the cell vectors:
Rb (0.0000, 0.5000, 0.0000)  2 Co 3.13
Rb (0.5000, 0.0000, 0.0000)  2 Co 3.13
In (0.0000, 0.0000, 0.5000)  2 Co 2.52
Co (0.0000, 0.0000, 0.0000)  2 In 2.52
Si (0.5000, 0.5000, 0.5000)  8 Rb 4.02, 4 In 4.42

Properties
The density of states at the Fermi level comes out at 3.82 states/eV/f.u. As for the formation energy without anion corrections: 0.888 eV per atom. The uncorrected energy is -2.55 eV/atom. The total magnetization comes out at 0.730 μB/atom.

=====

No. 20
A geometry-optimized RbIn2CoSn structure. Source: Alexandria, functional GGA-PBE.

a b c (Å): 5.1271 5.1271 5.0469
angles (deg): 90.00 90.00 90.00
Last column: nearest neighbours and their distance in Å.
Sites, in units of the cell vectors:
Rb (0.0000, 0.0000, 0.0000)  8 In 3.60, 4 Sn 3.63
In (0.0000, 0.5000, 0.5000)  2 Co 2.56
In (0.5000, 0.0000, 0.5000)  2 Co 2.56
Co (0.5000, 0.5000, 0.5000)  2 Sn 2.52, 4 In 2.56
Sn (0.5000, 0.5000, 0.0000)  2 Co 2.52

Properties
Its formation enthalpy at 0 K is 0.010 eV/atom. The density of states at the Fermi level comes out at 4.46 states/eV/f.u. The uncorrected energy is -3.50 eV/atom. The total magnetization comes out at 0.004 μB/atom.

=====

Looking at V for the records above, in order, we have 16.60 17.95 18.73 25.47 58.66 33.64 38.81 61.21 48.45 26.73 56.06 25.95 27.42 20.35 21.54 34.97 26.88 25.88 39.54 26.53 A^3/atom.